#a
Crystalline Th3AlCo3 at its relaxed geometry, computed with PBE-GGA.

Lattice parameters (Å, degrees): 5.574 5.574 13.508 90.00 90.00 138.11
Fractional positions:
Th 0.015 0.985 0.750
Th 0.291 0.709 0.605
Th 0.291 0.709 0.895
Th 0.709 0.291 0.105
Th 0.709 0.291 0.395
Th 0.985 0.015 0.250
Al 0.000 0.000 0.000
Al 0.000 0.000 0.500
Co 0.259 0.741 0.250
Co 0.429 0.571 0.093
Co 0.429 0.571 0.407
Co 0.571 0.429 0.593
Co 0.571 0.429 0.907
Co 0.741 0.259 0.750

Mass density = 10.7 g cm⁻³
Size of the total moment = 0.000 μB/atom


#b
Crystalline Th3AlCo3 at its relaxed geometry, computed with PBE-GGA.

Lattice parameters (Å, degrees): 5.861 5.861 5.861 111.06 111.06 111.06
Fractional positions:
Th 0.062 0.469 0.469
Th 0.469 0.062 0.469
Th 0.469 0.469 0.062
Al 0.827 0.827 0.827
Co 0.539 0.988 0.988
Co 0.988 0.539 0.988
Co 0.988 0.988 0.539

Mass density = 10.3 g cm⁻³
Size of the total moment = 0.000 μB/atom


Which of them is the least stable? Correct choice: #b.


#a
Crystalline TiAl3Co at its relaxed geometry, computed with PBE-GGA.

Lattice parameters (Å, degrees): 6.548 5.385 8.654 90.00 106.55 90.00
Fractional positions:
Ti 0.203 0.013 0.290
Ti 0.203 0.487 0.790
Ti 0.797 0.513 0.210
Ti 0.797 0.987 0.710
Al 0.039 0.745 0.014
Al 0.039 0.755 0.514
Al 0.243 0.518 0.321
Al 0.243 0.982 0.821
Al 0.394 0.209 0.587
Al 0.394 0.291 0.087
Al 0.606 0.709 0.913
Al 0.606 0.791 0.413
Al 0.757 0.018 0.179
Al 0.757 0.482 0.679
Al 0.961 0.245 0.486
Al 0.961 0.255 0.986
Co 0.430 0.736 0.626
Co 0.430 0.764 0.126
Co 0.570 0.236 0.874
Co 0.570 0.264 0.374

Mass density = 4.3 g cm⁻³
Size of the total moment = 0.000 μB/atom


#b
Crystalline TiAl3Co at its relaxed geometry, computed with PBE-GGA.

Lattice parameters (Å, degrees): 4.380 4.380 4.380 90.00 90.00 90.00
Fractional positions:
Ti 0.000 0.000 0.000
Al 0.000 0.500 0.500
Al 0.500 0.000 0.500
Al 0.500 0.500 0.000
Co 0.500 0.500 0.500

Mass density = 3.7 g cm⁻³
Size of the total moment = 0.000 μB/atom


#c
Crystalline TiAl3Co at its relaxed geometry, computed with PBE-GGA.

Lattice parameters (Å, degrees): 3.965 6.213 6.243 90.00 90.00 90.00
Fractional positions:
Ti 0.250 0.250 0.217
Ti 0.750 0.750 0.783
Al 0.250 0.043 0.812
Al 0.250 0.457 0.812
Al 0.250 0.750 0.453
Al 0.750 0.250 0.547
Al 0.750 0.543 0.188
Al 0.750 0.957 0.188
Co 0.250 0.750 0.076
Co 0.750 0.250 0.924

Mass density = 4.1 g cm⁻³
Size of the total moment = 0.043 μB/atom


Which of them is the least stable? Correct choice: #b.


#a
Crystalline TiAl2Co3 at its relaxed geometry, computed with PBE-GGA.

Lattice parameters (Å, degrees): 2.936 2.936 8.469 90.00 90.00 90.00
Fractional positions:
Ti 0.000 0.000 0.000
Al 0.000 0.000 0.337
Al 0.000 0.000 0.663
Co 0.500 0.500 0.167
Co 0.500 0.500 0.500
Co 0.500 0.500 0.833

Mass density = 6.3 g cm⁻³
Size of the total moment = 0.068 μB/atom


#b
Crystalline TiAl2Co3 at its relaxed geometry, computed with PBE-GGA.

Lattice parameters (Å, degrees): 6.497 6.497 5.758 90.00 90.00 143.14
Fractional positions:
Ti 0.162 0.838 0.000
Ti 0.838 0.162 0.000
Al 0.168 0.832 0.500
Al 0.500 0.500 0.000
Al 0.500 0.500 0.500
Al 0.832 0.168 0.500
Co 0.000 0.000 0.255
Co 0.000 0.000 0.745
Co 0.333 0.667 0.249
Co 0.333 0.667 0.751
Co 0.667 0.333 0.249
Co 0.667 0.333 0.751

Mass density = 6.3 g cm⁻³
Size of the total moment = 0.157 μB/atom


Which of them is the least stable? Correct choice: #a.